No. 1
Pm3ScPb4: optimized geometry, PBE.

abc: 6.478 6.475 11.087
angles: 90.00 90.00 90.00
Sites, in units of the cell vectors:
Pm  0.690  0.256  0.750
Sc  0.440  0.500  0.500
Pm  0.690  0.256  0.250
Pb  0.939  0.499  0.500
Pm  0.190  0.744  0.750
Pm  0.190  0.744  0.250
Pb  0.690  0.753  0.752
Pb  0.439  0.501  0.000
Pb  0.690  0.753  0.248
Pb  0.939  0.001  0.000
Pb  0.190  0.247  0.252
Pb  0.439  0.999  0.500
Pb  0.190  0.247  0.748
Pm  0.438  0.002  0.000
Sc  0.940  0.500  0.000
Pm  0.938  0.998  0.500

**Symmetry**: No. 31

No. 2
Pm2ScPb: optimized geometry, PBE.

abc: 4.242 4.242 6.516
angles: 90.00 90.00 90.00
Sites, in units of the cell vectors:
Pm  0.000  0.000  0.759
Sc  0.500  0.500  0.500
Pb  0.500  0.500  0.000
Pm  0.000  0.000  0.241

**Symmetry**: No. 123

No. 3
Pm6ScPb10: optimized geometry, PBE.

abc: 6.529 9.480 9.480
angles: 120.00 90.00 90.00
Sites, in units of the cell vectors:
Pb  0.791  0.753  0.753
Pb  0.209  0.247  0.247
Pb  0.500  0.333  0.667
Pb  0.000  0.667  0.333
Pm  0.740  0.000  0.609
Pb  0.209  0.000  0.753
Pm  0.260  0.391  0.000
Pm  0.740  0.391  0.391
Pm  0.260  0.000  0.391
Pb  0.000  0.333  0.667
Pm  0.260  0.609  0.609
Pb  0.791  0.247  0.000
Pm  0.740  0.609  0.000
Sc  0.500  0.000  0.000
Pb  0.209  0.753  0.000
Pb  0.791  0.000  0.247
Pb  0.500  0.667  0.333

**Symmetry**: No. 162

No. 4
PmScPb: optimized geometry, PBE.

abc: 3.863 3.863 6.292
angles: 107.88 107.88 90.00
Site moments in Bohr magnetons follow the coordinates.
Sites, in units of the cell vectors:
Pb  0.299  0.299  0.598  0.03
Pm  0.619  0.619  0.238  0.31
Sc  0.932  0.932  0.864  0.44

**Symmetry**: No. 107

No. 5
Pm2ScPb: optimized geometry, PBE.

abc: 4.874 4.818 4.818
angles: 90.00 90.00 90.00
Sites, in units of the cell vectors:
Pm  0.000  0.500  0.000
Sc  0.500  0.000  0.000
Pm  0.000  0.000  0.500
Pb  0.500  0.500  0.500

**Symmetry**: No. 123

No. 6
Pm8ScPb6: optimized geometry, PBE.

abc: 9.334 9.334 8.549
angles: 56.91 56.91 60.00
Sites, in units of the cell vectors:
Pb  0.608  0.931  0.205
Pb  0.931  0.256  0.205
Pm  0.234  0.899  0.306
Pb  0.069  0.744  0.795
Pb  0.256  0.608  0.205
Pm  0.560  0.234  0.306
Pm  0.101  0.440  0.694
Pb  0.392  0.069  0.795
Pm  0.766  0.101  0.694
Pb  0.744  0.392  0.795
Pm  0.334  0.334  0.998
Pm  0.666  0.666  0.002
Pm  0.899  0.560  0.306
Sc  0.000  0.000  0.000
Pm  0.440  0.766  0.694

**Symmetry**: No. 148

No. 7
Pm2Sc3Pb4: optimized geometry, PBE.

abc: 6.783 8.736 9.091
angles: 90.00 111.90 90.00
Sites, in units of the cell vectors:
Sc  0.041  0.750  0.583
Pb  0.785  0.250  0.071
Pb  0.285  0.250  0.071
Pb  0.215  0.750  0.929
Pb  0.687  0.553  0.373
Sc  0.541  0.750  0.583
Sc  0.500  0.500  0.000
Pm  0.114  0.587  0.228
Pm  0.886  0.413  0.772
Pb  0.313  0.447  0.627
Sc  0.000  0.000  0.000
Sc  0.959  0.250  0.417
Pm  0.386  0.087  0.772
Pb  0.187  0.947  0.373
Pm  0.614  0.913  0.228
Pb  0.813  0.053  0.627
Pb  0.715  0.750  0.929
Sc  0.459  0.250  0.417

**Symmetry**: No. 64

No. 8
Pm2Sc3Pb4: optimized geometry, PBE.

abc: 7.951 8.130 8.131
angles: 90.00 90.00 111.03
Sites, in units of the cell vectors:
Sc  0.000  0.500  0.500
Pm  0.945  0.808  0.822
Sc  0.758  0.752  0.345
Pb  0.858  0.499  0.142
Pm  0.445  0.808  0.678
Pb  0.161  0.911  0.453
Sc  0.258  0.752  0.155
Pb  0.142  0.501  0.858
Sc  0.242  0.248  0.655
Sc  0.742  0.248  0.845
Sc  0.500  0.500  0.000
Pb  0.339  0.089  0.953
Pb  0.642  0.501  0.642
Pm  0.555  0.192  0.322
Pb  0.358  0.499  0.358
Pb  0.839  0.089  0.547
Pm  0.055  0.192  0.178
Pb  0.661  0.911  0.047

**Symmetry**: No. 14

One value per record, in order, for uncorrected energy: -4.8630 -5.1482 -4.6315 -5.1821 -5.1762 -4.8067 -5.2694 -5.3641 eV per atom.
One value per record, in order, for formation energy from the elements: -42.1 -25.4 -38.7 -24.3 -28.1 -35.5 -43.9 -53.0 kJ per mole of atoms.